## Tl2SiSnH (GGA-PBE)

Data for a geometry-optimized Tl2SiSnH structure.

Properties
Crystal system ... tetragonal
Calculated total energy ... -3.010 eV/atom
Space group ... P4/mmm

Cell: 4.961 4.537 4.961 Å, 90.00 90.00 90.00°
Sites, in units of the cell vectors:
Sn: 0.000 0.500 0.000
Tl: 0.000 0.000 0.500
H: 0.000 0.000 0.000
Tl: 0.500 0.000 0.000
Si: 0.500 0.500 0.500

=====

## AgBPt3 (GGA-PBE)

Data for a geometry-optimized AgBPt3 structure.

Properties
Crystal system ... hexagonal
Offset from the most stable computed form ... 440 meV/atom
Calculated total energy ... -5.314 eV/atom
Space group ... P6_3/mmc
Formation energy from the elements ... 216 meV per atom

Cell: 3.563 3.563 15.509 Å, 90.00 90.00 120.00°
Sites, in units of the cell vectors:
Pt: 0.333 0.667 0.619
Pt: 0.667 0.333 0.381
Pt: 0.000 0.000 0.750
B: 0.333 0.667 0.750
B: 0.667 0.333 0.250
Pt: 0.667 0.333 0.119
Ag: 0.000 0.000 0.000
Pt: 0.000 0.000 0.250
Pt: 0.333 0.667 0.881
Ag: 0.000 0.000 0.500

=====

## Sm2TmMg (GGA-PBE)

Data for a geometry-optimized Sm2TmMg structure.

Properties
Crystal system ... monoclinic
Offset from the most stable computed form ... 66 meV/atom
Calculated total energy ... -3.834 eV/atom
Space group ... Cm
Formation energy from the elements ... 42 meV per atom

Cell: 3.521 3.521 11.615 Å, 81.33 81.33 60.02°
Sites, in units of the cell vectors:
Mg: 0.500 0.500 0.500
Sm: 0.084 0.084 0.749
Sm: 0.249 0.249 0.252
Tm: 0.667 0.667 0.999

=====

## Be2Zn2Ga (GGA-PBE)

Data for a geometry-optimized Be2Zn2Ga structure.

Properties
Crystal system ... tetragonal
Offset from the most stable computed form ... 31 meV/atom
Calculated total energy ... -2.352 eV/atom
Space group ... P4/mbm
Formation energy from the elements ... 253 meV per atom

Cell: 7.296 7.296 2.506 Å, 90.00 90.00 90.00°
Sites, in units of the cell vectors:
Zn: 0.872 0.628 0.000
Zn: 0.128 0.372 0.000
Be: 0.171 0.671 0.500
Be: 0.829 0.329 0.500
Be: 0.671 0.829 0.500
Zn: 0.372 0.872 0.000
Ga: 0.500 0.500 0.000
Be: 0.329 0.171 0.500
Ga: 0.000 0.000 0.000
Zn: 0.628 0.128 0.000

=====

## Mg2HgBr (GGA-PBE)

Data for a geometry-optimized Mg2HgBr structure.

Properties
Crystal system ... monoclinic
Offset from the most stable computed form ... 0 meV/atom
Calculated total energy ... -1.778 eV/atom
Space group ... C2/m

Cell: 3.669 3.669 8.346 Å, 77.41 77.41 60.16°
Sites, in units of the cell vectors:
Mg: 0.995 0.995 0.010
Hg: 0.250 0.250 0.250
Mg: 0.505 0.505 0.490
Br: 0.750 0.750 0.750

=====

## H4SeI (GGA-PBE)

Data for a geometry-optimized H4SeI structure.

Properties
Crystal system ... monoclinic
Offset from the most stable computed form ... 44 meV/atom
Calculated total energy ... -2.812 eV/atom
Space group ... Cm

Cell: 7.736 8.831 8.831 Å, 37.35 27.33 27.33°
Sites, in units of the cell vectors:
H: 0.600 0.548 0.044
H: 0.283 0.982 0.352
Se: 0.645 0.034 0.030
H: 0.283 0.356 0.978
I: 0.099 0.548 0.544
H: 0.600 0.048 0.544

=====

Number 1: total magnetic moment 0.00 μB per atom. Number 2: total magnetic moment 0.00 μB per atom. Number 3: total magnetic moment 0.00 μB per atom. Number 4: total magnetic moment 0.00 μB per atom. Number 5: total magnetic moment 0.00 μB per atom. Number 6: total magnetic moment 0.00 μB per atom.